The following is a DFT calculation (PBE) of an optimized crystal structure of FeNiBr.

Unit cell a=5.6113 b=5.5379 c=3.0610 alpha=75.39 beta=72.75 gamma=31.86
With the nearest neighbours (Å) after each atom.
Atoms (fractional coordinates):
1 Br 0.0061 0.0061 0.9939  4 Fe 2.75-2.90, 4 Ni 2.88-3.02, 4 Br 3.06
2 Fe 0.6830 0.6830 0.3170  4 Ni 2.45-2.61
3 Ni 0.3108 0.3108 0.6892  4 Fe 2.45-2.61

The offset from the most stable computed form is 0.136 eV/atom. The space-group type is Fmm2, No. 42. For the formation energy (no corrections), the calculation gives 532 meV per atom. As for the magnetization: 3.84 μB per cell. The electronic total energy is -4.774 eV per atom.

The following is a DFT calculation (PBE) of an optimized crystal structure of Fe2NiBr.

Unit cell a=5.0101 b=5.0101 c=5.0101 alpha=143.19 beta=131.59 gamma=62.33
With the nearest neighbours (Å) after each atom.
Atoms (fractional coordinates):
1 Br 0.2500 0.7500 0.5000  4 Ni 2.59, 4 Fe 2.65
2 Fe 0.0013 0.0013 0.0000  4 Fe 2.59, 2 Br 2.65, 2 Ni 2.67
3 Fe 0.4987 0.4987 0.0000  4 Fe 2.59, 2 Br 2.65, 2 Ni 2.67
4 Ni 0.7500 0.2500 0.5000  4 Br 2.59, 4 Fe 2.67

The offset from the most stable computed form is 0.330 eV/atom. The space-group type is Immm, No. 71. For the formation energy (no corrections), the calculation gives 640 meV per atom. As for the magnetization: 6.28 μB per cell. The electronic total energy is -5.455 eV per atom.

The following is a DFT calculation (PBE) of an optimized crystal structure of FeNiBr2.

Unit cell a=3.7833 b=3.7833 c=7.4857 alpha=90.00 beta=90.00 gamma=127.06
With the nearest neighbours (Å) after each atom.
Atoms (fractional coordinates):
1 Br 0.0000 0.0000 0.9922  2 Ni 2.48, 2 Fe 2.56
2 Br 0.0000 0.0000 0.5078  2 Ni 2.48, 2 Fe 2.56
3 Fe 0.5000 0.5000 0.2500  4 Br 2.56
4 Ni 0.5000 0.5000 0.7500  4 Br 2.48

The offset from the most stable computed form is 0.497 eV/atom. The space-group type is Cmmm, No. 65. For the formation energy (no corrections), the calculation gives 445 meV per atom. As for the magnetization: 3.79 μB per cell. The electronic total energy is -3.953 eV per atom.

The following is a DFT calculation (PBE) of an optimized crystal structure of Fe2NiBr.

Unit cell a=4.3025 b=4.3025 c=4.3025 alpha=60.00 beta=60.00 gamma=60.00
With the nearest neighbours (Å) after each atom.
Atoms (fractional coordinates):
1 Br 0.5000 0.5000 0.5000  4 Fe 2.63, 4 Ni 2.63
2 Fe 0.0000 0.0000 0.0000  4 Ni 2.63, 4 Fe 2.63
3 Fe 0.2500 0.2500 0.2500  4 Fe 2.63, 4 Br 2.63
4 Ni 0.7500 0.7500 0.7500  4 Fe 2.63, 4 Br 2.63

The offset from the most stable computed form is 0.433 eV/atom. The space-group type is F-43m, No. 216. For the formation energy (no corrections), the calculation gives 743 meV per atom. As for the magnetization: 6.12 μB per cell. The electronic total energy is -5.352 eV per atom.

The following is a DFT calculation (PBE) of an optimized crystal structure of Fe2NiBr.

Unit cell a=3.0902 b=3.1635 c=6.5607 alpha=89.70 beta=90.00 gamma=90.00
With the nearest neighbours (Å) after each atom.
Atoms (fractional coordinates):
1 Br 0.5000 0.7244 0.7493  2 Fe 2.56, 2 Ni 2.60
2 Fe 0.0000 0.7601 0.0604  1 Ni 2.43, 2 Br 2.56, 4 Fe 2.57
3 Fe 0.5000 0.2584 0.2591  4 Ni 2.48, 4 Fe 2.57
4 Ni 0.0000 0.7570 0.4312  5 Fe 2.43-2.48, 2 Br 2.60

The offset from the most stable computed form is 0.000 eV/atom. The space-group type is Pm, No. 6. For the formation energy (no corrections), the calculation gives 309 meV per atom. As for the magnetization: 6.69 μB per cell. The electronic total energy is -5.786 eV per atom.

The following is a DFT calculation (PBE) of an optimized crystal structure of FeNiBr2.

Unit cell a=3.5435 b=3.5435 c=7.4760 alpha=90.00 beta=90.00 gamma=108.02
With the nearest neighbours (Å) after each atom.
Atoms (fractional coordinates):
1 Br 0.0000 0.0000 0.8881  1 Fe 2.46, 2 Ni 2.52
2 Br 0.5000 0.5000 0.3541  1 Ni 2.58, 2 Fe 2.59
3 Fe 0.0000 0.0000 0.5593  2 Ni 2.33, 3 Br 2.46-2.59
4 Ni 0.5000 0.5000 0.6985  2 Fe 2.33, 3 Br 2.52-2.58

The offset from the most stable computed form is 0.142 eV/atom. The space-group type is Cmm2, No. 35. For the formation energy (no corrections), the calculation gives 90 meV per atom. As for the magnetization: 4.00 μB per cell. The electronic total energy is -4.308 eV per atom.

The following is a DFT calculation (PBE) of an optimized crystal structure of Fe2NiBr.

Unit cell a=3.5783 b=3.5783 c=6.4042 alpha=74.18 beta=74.18 gamma=60.06
With the nearest neighbours (Å) after each atom.
Atoms (fractional coordinates):
1 Br 0.2500 0.2500 0.2500  6 Fe 2.84-2.87
2 Fe 0.0265 0.0265 0.9244  3 Ni 2.32
3 Fe 0.4735 0.4735 0.5756  3 Ni 2.32
4 Ni 0.7500 0.7500 0.7500  6 Fe 2.32

The offset from the most stable computed form is 0.077 eV/atom. The space-group type is C2/m, No. 12. For the formation energy (no corrections), the calculation gives 386 meV per atom. As for the magnetization: 7.03 μB per cell. The electronic total energy is -5.709 eV per atom.

The following is a DFT calculation (PBE) of an optimized crystal structure of Fe2NiBr.

Unit cell a=4.2802 b=3.6198 c=3.6198 alpha=90.00 beta=90.00 gamma=90.00
With the nearest neighbours (Å) after each atom.
Atoms (fractional coordinates):
1 Br 0.5000 0.0000 0.5000  4 Ni 2.56, 8 Fe 2.80
2 Fe 0.0000 0.0000 0.0000  4 Fe 2.56, 4 Br 2.80, 4 Ni 2.80
3 Fe 0.0000 0.5000 0.5000  4 Fe 2.56, 4 Br 2.80, 4 Ni 2.80
4 Ni 0.5000 0.5000 0.0000  4 Br 2.56, 8 Fe 2.80

The offset from the most stable computed form is 0.348 eV/atom. The space-group type is P4/mmm, No. 123. For the formation energy (no corrections), the calculation gives 657 meV per atom. As for the magnetization: 6.35 μB per cell. The electronic total energy is -5.437 eV per atom.